The following is a DFT calculation (PBE+U) of an optimized crystal structure of LaVCr2O8.

CIF file:
```
data_LaVCr2O8
_chemical_formula_sum 'La1 V1 Cr2 O8'
_cell_length_a 4.843
_cell_length_b 4.844
_cell_length_c 6.812
_cell_angle_alpha 81.57
_cell_angle_beta 81.60
_cell_angle_gamma 77.92
_symmetry_space_group_name_H-M 'P -1'
_symmetry_Int_Tables_number 2
loop_
_symmetry_equiv_pos_as_xyz
'x,y,z'
'-x,-y,-z'
loop_
_atom_site_label
_atom_site_fract_x
_atom_site_fract_y
_atom_site_fract_z
La1 0.000 0.000 0.000
V1 0.000 0.000 0.500
Cr1 0.439 0.439 0.232
O1 0.214 0.773 0.712
O2 0.225 0.785 0.288
O3 0.244 0.242 0.446
O4 0.335 0.333 0.016
```

Values from the calculation:
energy: -90.21 eV per cell